1.
This record from the Alexandria database describes a relaxed structure of MgTe2Pd7. The functional is PBE-GGA.

Lattice parameters (Å, degrees): 11.5671 11.5671 11.5671 159.88 159.88 28.60
Fractional coordinates of all 10 atoms:
Mg1 0.0000 0.0000 0.0000
Te1 0.3341 0.3341 0.0000
Te2 0.6659 0.6659 0.0000
Pd1 0.0871 0.5871 0.5000
Pd2 0.2500 0.7500 0.5000
Pd3 0.4129 0.9129 0.5000
Pd4 0.5000 0.5000 0.0000
Pd5 0.5871 0.0871 0.5000
Pd6 0.7500 0.2500 0.5000
Pd7 0.9129 0.4129 0.5000

Relative energy among the computed polymorphs in eV/atom: 0.0000
M_tot in Bohr magnetons per cell: 0.00
Formation energy (no corrections) in eV per atom: -0.381
Space-group type: I4/mmm
Uncorrected energy in eV/atom: -4.804

=====

2.
This record from the Alexandria database describes a relaxed structure of In5Ag2Hg2. The functional is PBE-GGA.

Lattice parameters (Å, degrees): 10.0115 10.0115 10.0115 62.83 137.01 136.48
Fractional coordinates of all 18 atoms:
In1 0.1533 0.0810 0.2343
In2 0.1533 0.4190 0.5723
In3 0.2840 0.1099 0.6741
In4 0.4199 0.7890 0.9461
In5 0.4199 0.9738 0.1308
In6 0.4358 0.6099 0.3259
In7 0.8430 0.2890 0.8692
In8 0.8430 0.4738 0.0539
In9 0.8467 0.5810 0.4277
In10 0.8467 0.9190 0.7657
Ag1 0.3243 0.4238 0.0670
Ag2 0.3243 0.7573 0.4005
Ag3 0.3568 0.2573 0.9330
Ag4 0.3568 0.9238 0.5995
Hg1 0.6867 0.1867 0.5000
Hg2 0.6867 0.6867 0.0000
Hg3 0.8838 0.6573 0.7265
Hg4 0.9308 0.1573 0.2735

ΔH_f (0 K) in eV/atom: 0.048
M_tot in Bohr magnetons per cell: 0.00
Space-group type: Ima2
Uncorrected energy in eV/atom: -2.174

=====

3.
This record from the Alexandria database describes a relaxed structure of YNi2Ru2. The functional is PBE-GGA.

Lattice parameters (Å, degrees): 7.3451 7.3451 2.8111 90.00 90.00 90.00
Fractional coordinates of all 10 atoms:
Y1 0.0000 0.0000 0.0000
Y2 0.5000 0.5000 0.0000
Ni1 0.1750 0.3250 0.5000
Ni2 0.3250 0.8250 0.5000
Ni3 0.6750 0.1750 0.5000
Ni4 0.8250 0.6750 0.5000
Ru1 0.1214 0.6214 0.0000
Ru2 0.3786 0.1214 0.0000
Ru3 0.6214 0.8786 0.0000
Ru4 0.8786 0.3786 0.0000

Relative energy among the computed polymorphs in eV/atom: 0.1425
ΔH_f (0 K) in eV/atom: 0.106
M_tot in Bohr magnetons per cell: 2.97
Space-group type: P4/mbm
Uncorrected energy in eV/atom: -7.210

=====

4.
This record from the Alexandria database describes a relaxed structure of CePm4Nd7. The functional is PBE-GGA.

Lattice parameters (Å, degrees): 6.3931 7.3833 9.1018 89.96 76.47 89.99
Fractional coordinates of all 12 atoms:
Ce1 0.0000 0.0000 0.0000
Pm1 0.2218 0.4999 0.3346
Pm2 0.2758 0.2482 0.6702
Pm3 0.7242 0.7518 0.3298
Pm4 0.7782 0.5001 0.6654
Nd1 0.0000 0.5000 0.0000
Nd2 0.2199 0.9998 0.3288
Nd3 0.2762 0.7524 0.6697
Nd4 0.5000 0.2474 0.9998
Nd5 0.5000 0.7526 0.0002
Nd6 0.7238 0.2476 0.3303
Nd7 0.7801 0.0002 0.6712

ΔH_f (0 K) in eV/atom: 0.029
M_tot in Bohr magnetons per cell: 1.04
Space-group type: P-1
Uncorrected energy in eV/atom: -4.830

=====

5.
This record from the Alexandria database describes a relaxed structure of AcCoGe2. The functional is PBE-GGA.

Lattice parameters (Å, degrees): 9.0192 9.0192 4.4281 90.00 90.00 152.54
Fractional coordinates of all 8 atoms:
Ac1 0.1425 0.8575 0.0000
Ac2 0.8575 0.1425 0.0000
Co1 0.4305 0.5695 0.5000
Co2 0.5695 0.4305 0.5000
Ge1 0.0000 0.0000 0.5000
Ge2 0.2938 0.7062 0.5000
Ge3 0.5000 0.5000 0.0000
Ge4 0.7062 0.2938 0.5000

Relative energy among the computed polymorphs in eV/atom: 0.0283
ΔH_f (0 K) in eV/atom: -0.566
M_tot in Bohr magnetons per cell: 0.00
Space-group type: Cmmm
Uncorrected energy in eV/atom: -5.678

=====

6.
This record from the Alexandria database describes a relaxed structure of MgScNi2. The functional is PBE-GGA.

Lattice parameters (Å, degrees): 8.4668 8.4668 8.4668 20.79 20.79 20.79
Fractional coordinates of all 4 atoms:
Mg1 0.0000 0.0000 0.0000
Sc1 0.2198 0.2198 0.2198
Ni1 0.4812 0.4812 0.4812
Ni2 0.7449 0.7449 0.7449

ΔH_f (0 K) in eV/atom: 0.133
M_tot in Bohr magnetons per cell: 0.00
Space-group type: R3m
Uncorrected energy in eV/atom: -4.739

=====

7.
This record from the Alexandria database describes a relaxed structure of Mg3SnPd4. The functional is PBE-GGA.

Lattice parameters (Å, degrees): 7.2492 7.2469 4.5249 71.84 71.78 36.38
Fractional coordinates of all 8 atoms:
Mg1 0.0000 0.0000 0.0000
Mg2 0.2489 0.2489 0.7511
Mg3 0.7511 0.7511 0.2489
Sn1 0.5000 0.5000 0.5000
Pd1 0.1256 0.1256 0.3744
Pd2 0.3744 0.3744 0.1256
Pd3 0.6256 0.6256 0.8744
Pd4 0.8744 0.8744 0.6256

ΔH_f (0 K) in eV/atom: -0.707
M_tot in Bohr magnetons per cell: 0.00
Space-group type: Fmmm
Uncorrected energy in eV/atom: -4.402

=====

8.
This record from the Alexandria database describes a relaxed structure of Pm2ThRuN4. The functional is PBE-GGA.

Lattice parameters (Å, degrees): 6.2322 6.2322 11.8513 90.00 90.00 147.70
Fractional coordinates of all 16 atoms:
Pm1 0.1306 0.8694 0.5495
Pm2 0.1306 0.8694 0.9505
Pm3 0.8694 0.1306 0.0495
Pm4 0.8694 0.1306 0.4505
Th1 0.3889 0.6111 0.7500
Th2 0.6111 0.3889 0.2500
Ru1 0.3508 0.6492 0.2500
Ru2 0.6492 0.3508 0.7500
N1 0.0435 0.9565 0.7500
N2 0.2218 0.7782 0.1361
N3 0.2218 0.7782 0.3639
N4 0.5000 0.5000 0.0000
N5 0.5000 0.5000 0.5000
N6 0.7782 0.2218 0.6361
N7 0.7782 0.2218 0.8639
N8 0.9565 0.0435 0.2500

M_tot in Bohr magnetons per cell: 0.00
Formation energy (no corrections) in eV per atom: -0.984
Space-group type: Cmcm
Uncorrected energy in eV/atom: -8.421

=====

9.
This record from the Alexandria database describes a relaxed structure of YTmS2. The functional is PBE-GGA.

Lattice parameters (Å, degrees): 7.0948 7.0948 7.0948 30.98 30.98 30.98
Fractional coordinates of all 4 atoms:
Y1 0.0000 0.0000 0.0000
Tm1 0.8218 0.8218 0.8218
S1 0.4110 0.4110 0.4110
S2 0.5769 0.5769 0.5769

Relative energy among the computed polymorphs in eV/atom: 0.0373
M_tot in Bohr magnetons per cell: 0.00
Formation energy (no corrections) in eV per atom: -1.928
Space-group type: R3m
Uncorrected energy in eV/atom: -6.726

=====

10.
This record from the Alexandria database describes a relaxed structure of GdLuZnRu. The functional is PBE-GGA.

Lattice parameters (Å, degrees): 4.8875 4.8875 4.8875 60.00 60.00 60.00
Fractional coordinates of all 4 atoms:
Gd1 0.0000 0.0000 0.0000
Lu1 0.5000 0.5000 0.5000
Zn1 0.7500 0.7500 0.7500
Ru1 0.2500 0.2500 0.2500

ΔH_f (0 K) in eV/atom: -0.366
M_tot in Bohr magnetons per cell: 7.09
Space-group type: F-43m
Uncorrected energy in eV/atom: -7.654

=====

11.
This record from the Alexandria database describes a relaxed structure of LiAcCoBi. The functional is PBE-GGA.

Lattice parameters (Å, degrees): 4.9741 4.9741 4.9741 60.00 60.00 60.00
Fractional coordinates of all 4 atoms:
Li1 0.0000 0.0000 0.0000
Ac1 0.2500 0.2500 0.2500
Co1 0.5000 0.5000 0.5000
Bi1 0.7500 0.7500 0.7500

ΔH_f (0 K) in eV/atom: -0.173
M_tot in Bohr magnetons per cell: 0.00
Space-group type: F-43m
Uncorrected energy in eV/atom: -4.425

=====

12.
This record from the Alexandria database describes a relaxed structure of Pa2Be3ReSi4. The functional is PBE-GGA.

Lattice parameters (Å, degrees): 3.9790 3.9790 9.5441 90.00 90.00 90.00
Fractional coordinates of all 10 atoms:
Pa1 0.0000 0.5000 0.2450
Pa2 0.5000 0.0000 0.7550
Be1 0.0000 0.5000 0.8777
Be2 0.5000 0.0000 0.1223
Be3 0.5000 0.5000 0.5000
Re1 0.0000 0.0000 0.5000
Si1 0.0000 0.0000 0.0000
Si2 0.0000 0.5000 0.6430
Si3 0.5000 0.0000 0.3570
Si4 0.5000 0.5000 0.0000

M_tot in Bohr magnetons per cell: 0.00
Formation energy (no corrections) in eV per atom: -0.329
Space-group type: P-4m2
Uncorrected energy in eV/atom: -6.760

=====

13.
This record from the Alexandria database describes a relaxed structure of Cd3Tc. The functional is PBE-GGA.

Lattice parameters (Å, degrees): 4.7489 4.7489 4.7489 60.00 60.00 60.00
Fractional coordinates of all 4 atoms:
Cd1 0.0000 0.0000 0.0000
Cd2 0.2500 0.2500 0.2500
Cd3 0.7500 0.7500 0.7500
Tc1 0.5000 0.5000 0.5000

Relative energy among the computed polymorphs in eV/atom: 0.2192
ΔH_f (0 K) in eV/atom: 0.473
M_tot in Bohr magnetons per cell: 0.30
Space-group type: Fm-3m
Uncorrected energy in eV/atom: -2.805

=====

14.
This record from the Alexandria database describes a relaxed structure of AlCuBr2. The functional is PBE-GGA.

Lattice parameters (Å, degrees): 3.3613 3.3613 8.2400 90.00 90.00 90.00
Fractional coordinates of all 4 atoms:
Al1 0.0000 0.0000 0.0000
Cu1 0.5000 0.5000 0.7959
Br1 0.0000 0.0000 0.6260
Br2 0.5000 0.5000 0.2004

Relative energy among the computed polymorphs in eV/atom: 0.3655
M_tot in Bohr magnetons per cell: 0.00
Formation energy (no corrections) in eV per atom: 0.001
Space-group type: P4mm
Uncorrected energy in eV/atom: -2.795

=====

15.
This record from the Alexandria database describes a relaxed structure of IrSCl3. The functional is PBE-GGA.

Lattice parameters (Å, degrees): 4.7583 4.7583 4.7583 90.00 90.00 90.00
Fractional coordinates of all 5 atoms:
Ir1 0.0000 0.0000 0.0000
S1 0.5000 0.5000 0.5000
Cl1 0.0000 0.0000 0.5000
Cl2 0.0000 0.5000 0.0000
Cl3 0.5000 0.0000 0.0000

Relative energy among the computed polymorphs in eV/atom: 0.9918
M_tot in Bohr magnetons per cell: 0.00
Formation energy (no corrections) in eV per atom: 0.591
Space-group type: Pm-3m
Uncorrected energy in eV/atom: -3.114

=====

16.
This record from the Alexandria database describes a relaxed structure of RbTl4Ga. The functional is PBE-GGA.

Lattice parameters (Å, degrees): 9.2982 4.8074 8.9826 90.00 90.00 90.00
Fractional coordinates of all 12 atoms:
Rb1 0.2500 0.0000 0.1057
Rb2 0.7500 0.0000 0.8943
Tl1 0.0000 0.0000 0.5000
Tl2 0.0650 0.5000 0.7892
Tl3 0.2500 0.5000 0.4363
Tl4 0.4350 0.5000 0.7892
Tl5 0.5000 0.0000 0.5000
Tl6 0.5650 0.5000 0.2108
Tl7 0.7500 0.5000 0.5637
Tl8 0.9350 0.5000 0.2108
Ga1 0.2500 0.0000 0.6992
Ga2 0.7500 0.0000 0.3008

Relative energy among the computed polymorphs in eV/atom: 0.0000
ΔH_f (0 K) in eV/atom: -0.056
M_tot in Bohr magnetons per cell: 0.00
Space-group type: Pmma
Uncorrected energy in eV/atom: -2.299

=====

17.
This record from the Alexandria database describes a relaxed structure of BeBiN2O. The functional is PBE-GGA.

Lattice parameters (Å, degrees): 4.2969 4.2969 4.1722 90.00 90.00 90.00
Fractional coordinates of all 5 atoms:
Be1 0.0000 0.0000 0.0000
Bi1 0.5000 0.5000 0.5000
N1 0.0000 0.5000 0.5000
N2 0.5000 0.0000 0.5000
O1 0.5000 0.5000 0.0000

M_tot in Bohr magnetons per cell: 1.26
Formation energy (no corrections) in eV per atom: 1.650
Space-group type: P4/mmm
Uncorrected energy in eV/atom: -4.193

=====

18.
This record from the Alexandria database describes a relaxed structure of BeFeW. The functional is PBE-GGA.

Lattice parameters (Å, degrees): 4.5918 4.5918 4.5918 120.02 119.29 90.59
Fractional coordinates of all 6 atoms:
Be1 0.5000 0.0000 0.0000
Be2 0.5000 0.5000 0.5000
Fe1 0.0000 0.0000 0.0000
Fe2 0.5000 0.0000 0.5000
W1 0.1301 0.3801 0.7500
W2 0.8699 0.6199 0.2500

Relative energy among the computed polymorphs in eV/atom: 0.0000
ΔH_f (0 K) in eV/atom: -0.167
M_tot in Bohr magnetons per cell: 3.22
Space-group type: Imma
Uncorrected energy in eV/atom: -8.548

=====

19.
This record from the Alexandria database describes a relaxed structure of Ta3TcN. The functional is PBE-GGA.

Lattice parameters (Å, degrees): 4.2315 4.2315 4.2315 90.00 90.00 90.00
Fractional coordinates of all 5 atoms:
Ta1 0.0000 0.0000 0.5000
Ta2 0.0000 0.5000 0.0000
Ta3 0.5000 0.0000 0.0000
Tc1 0.5000 0.5000 0.5000
N1 0.0000 0.0000 0.0000

Relative energy among the computed polymorphs in eV/atom: 0.0000
M_tot in Bohr magnetons per cell: 0.00
Formation energy (no corrections) in eV per atom: -0.399
Space-group type: Pm-3m
Uncorrected energy in eV/atom: -11.249

=====

20.
This record from the Alexandria database describes a relaxed structure of Ir6OsRh2. The functional is PBE-GGA.

Lattice parameters (Å, degrees): 6.7515 6.7515 6.7515 46.79 46.79 46.79
Fractional coordinates of all 9 atoms:
Ir1 0.0133 0.4933 0.4933
Ir2 0.2796 0.2796 0.8004
Ir3 0.2796 0.8004 0.2796
Ir4 0.4933 0.0133 0.4933
Ir5 0.4933 0.4933 0.0133
Ir6 0.8004 0.2796 0.2796
Os1 0.5630 0.5630 0.5630
Rh1 0.8078 0.8078 0.8078
Rh2 0.9637 0.9637 0.9637

Relative energy among the computed polymorphs in eV/atom: 0.1284
ΔH_f (0 K) in eV/atom: 0.499
M_tot in Bohr magnetons per cell: 0.00
Space-group type: R3m
Uncorrected energy in eV/atom: -8.290